[1]
# KSrHg3 | the Alexandria database | PBE-GGA | optimized geometry
data_KSrHg3
_space_group_name_H-M_alt 'P 1'
_space_group_IT_number 1
_cell_length_a 5.970
_cell_length_b 5.970
_cell_length_c 5.970
_cell_angle_alpha 90.00
_cell_angle_beta 90.00
_cell_angle_gamma 90.00
loop_
_space_group_symop_operation_xyz
'x,y,z'
loop_
_atom_site_label
_atom_site_type_symbol
_atom_site_fract_x
_atom_site_fract_y
_atom_site_fract_z
K1 K 0.000 0.000 0.000
Hg1 Hg 0.500 0.000 0.000
Hg2 Hg 0.000 0.500 0.000
Sr1 Sr 0.500 0.500 0.500
Hg3 Hg 0.000 0.000 0.500
# Electronic total energy: -0.66 eV per atom
# Mass density: 5.7 g/cm³

***

[2]
# K3SrHg4 | the Alexandria database | PBE-GGA | optimized geometry
data_K3SrHg4
_space_group_name_H-M_alt 'P 1'
_space_group_IT_number 1
_cell_length_a 4.076
_cell_length_b 4.076
_cell_length_c 17.364
_cell_angle_alpha 90.00
_cell_angle_beta 90.00
_cell_angle_gamma 90.00
loop_
_space_group_symop_operation_xyz
'x,y,z'
loop_
_atom_site_label
_atom_site_type_symbol
_atom_site_fract_x
_atom_site_fract_y
_atom_site_fract_z
Hg1 Hg 0.000 0.000 0.108
Hg2 Hg 0.000 0.000 0.892
K1 K 0.500 0.500 0.500
Hg3 Hg 0.000 0.000 0.374
Sr1 Sr 0.500 0.500 0.000
K2 K 0.500 0.500 0.242
Hg4 Hg 0.000 0.000 0.626
K3 K 0.500 0.500 0.758
# Electronic total energy: -1.05 eV per atom
# Mass density: 5.8 g/cm³

***

[3]
# KSr5Hg6 | the Alexandria database | PBE-GGA | optimized geometry
data_KSr5Hg6
_space_group_name_H-M_alt 'P 1'
_space_group_IT_number 1
_cell_length_a 5.707
_cell_length_b 7.981
_cell_length_c 9.043
_cell_angle_alpha 90.00
_cell_angle_beta 71.60
_cell_angle_gamma 90.00
loop_
_space_group_symop_operation_xyz
'x,y,z'
loop_
_atom_site_label
_atom_site_type_symbol
_atom_site_fract_x
_atom_site_fract_y
_atom_site_fract_z
Sr1 Sr 0.000 0.500 0.000
Hg1 Hg 0.171 0.255 0.659
Sr2 Sr 0.333 0.500 0.333
K1 K 0.000 0.000 0.000
Sr3 Sr 0.667 0.500 0.667
Hg2 Hg 0.500 0.739 0.000
Hg3 Hg 0.829 0.255 0.341
Hg4 Hg 0.500 0.261 0.000
Sr4 Sr 0.335 0.000 0.330
Sr5 Sr 0.665 0.000 0.670
Hg5 Hg 0.171 0.745 0.659
Hg6 Hg 0.829 0.745 0.341
# Electronic total energy: -1.40 eV per atom
# Mass density: 7.1 g/cm³

***

[4]
# KSr2Hg8 | the Alexandria database | PBE-GGA | optimized geometry
data_KSr2Hg8
_space_group_name_H-M_alt 'P 1'
_space_group_IT_number 1
_cell_length_a 5.439
_cell_length_b 7.814
_cell_length_c 8.688
_cell_angle_alpha 112.28
_cell_angle_beta 108.24
_cell_angle_gamma 90.00
loop_
_space_group_symop_operation_xyz
'x,y,z'
loop_
_atom_site_label
_atom_site_type_symbol
_atom_site_fract_x
_atom_site_fract_y
_atom_site_fract_z
Hg1 Hg 0.328 0.110 0.657
Sr1 Sr 0.206 0.648 0.412
Hg2 Hg 0.410 0.541 0.819
Hg3 Hg 0.015 0.723 0.029
Hg4 Hg 0.985 0.277 0.971
Hg5 Hg 0.590 0.459 0.181
Hg6 Hg 0.848 0.837 0.696
Hg7 Hg 0.152 0.163 0.304
K1 K 0.500 0.000 0.000
Hg8 Hg 0.672 0.890 0.343
Sr2 Sr 0.794 0.352 0.588
# Electronic total energy: -0.94 eV per atom
# Mass density: 9.4 g/cm³

***

[5]
# KSr3Hg | the Alexandria database | PBE-GGA | optimized geometry
data_KSr3Hg
_space_group_name_H-M_alt 'P 1'
_space_group_IT_number 1
_cell_length_a 7.278
_cell_length_b 7.278
_cell_length_c 7.278
_cell_angle_alpha 90.00
_cell_angle_beta 90.00
_cell_angle_gamma 90.00
loop_
_space_group_symop_operation_xyz
'x,y,z'
loop_
_atom_site_label
_atom_site_type_symbol
_atom_site_fract_x
_atom_site_fract_y
_atom_site_fract_z
Sr1 Sr 0.000 0.500 0.000
K1 K 0.000 0.000 0.000
Sr2 Sr 0.000 0.000 0.500
Sr3 Sr 0.500 0.000 0.000
Hg1 Hg 0.500 0.500 0.500
# Electronic total energy: -0.64 eV per atom
# Mass density: 2.2 g/cm³

***

[6]
# K2SrHg2 | the Alexandria database | PBE-GGA | optimized geometry
data_K2SrHg2
_space_group_name_H-M_alt 'P 1'
_space_group_IT_number 1
_cell_length_a 9.829
_cell_length_b 9.829
_cell_length_c 3.998
_cell_angle_alpha 90.00
_cell_angle_beta 90.00
_cell_angle_gamma 90.00
loop_
_space_group_symop_operation_xyz
'x,y,z'
loop_
_atom_site_label
_atom_site_type_symbol
_atom_site_fract_x
_atom_site_fract_y
_atom_site_fract_z
K1 K 0.124 0.376 0.000
Hg1 Hg 0.179 0.679 0.500
K2 K 0.624 0.124 0.000
Sr1 Sr 0.000 0.000 0.000
K3 K 0.376 0.876 0.000
K4 K 0.876 0.624 0.000
Hg2 Hg 0.821 0.321 0.500
Hg3 Hg 0.679 0.821 0.500
Hg4 Hg 0.321 0.179 0.500
Sr2 Sr 0.500 0.500 0.000
# Electronic total energy: -0.99 eV per atom
# Mass density: 4.9 g/cm³

***

[7]
# KSr2Hg | the Alexandria database | PBE-GGA | optimized geometry
data_KSr2Hg
_space_group_name_H-M_alt 'P 1'
_space_group_IT_number 1
_cell_length_a 8.302
_cell_length_b 8.302
_cell_length_c 5.918
_cell_angle_alpha 69.13
_cell_angle_beta 69.13
_cell_angle_gamma 29.01
loop_
_space_group_symop_operation_xyz
'x,y,z'
loop_
_atom_site_label
_atom_site_type_symbol
_atom_site_fract_x
_atom_site_fract_y
_atom_site_fract_z
Sr1 Sr 0.004 0.004 0.996
K1 K 0.187 0.187 0.313
Hg1 Hg 0.490 0.490 0.510
Sr2 Sr 0.819 0.819 0.681
# Electronic total energy: -1.32 eV per atom
# Mass density: 3.7 g/cm³

***

[8]
# KSr3Hg | the Alexandria database | PBE-GGA | optimized geometry
data_KSr3Hg
_space_group_name_H-M_alt 'P 1'
_space_group_IT_number 1
_cell_length_a 6.450
_cell_length_b 6.450
_cell_length_c 6.450
_cell_angle_alpha 90.00
_cell_angle_beta 90.00
_cell_angle_gamma 90.00
loop_
_space_group_symop_operation_xyz
'x,y,z'
loop_
_atom_site_label
_atom_site_type_symbol
_atom_site_fract_x
_atom_site_fract_y
_atom_site_fract_z
Sr1 Sr 0.000 0.500 0.000
Hg1 Hg 0.000 0.000 0.000
Sr2 Sr 0.500 0.000 0.000
Sr3 Sr 0.000 0.000 0.500
K1 K 0.500 0.500 0.500
# Electronic total energy: -1.43 eV per atom
# Mass density: 3.1 g/cm³

***

[9]
# K2SrHg | the Alexandria database | PBE-GGA | optimized geometry
data_K2SrHg
_space_group_name_H-M_alt 'P 1'
_space_group_IT_number 1
_cell_length_a 12.834
_cell_length_b 12.834
_cell_length_c 12.834
_cell_angle_alpha 19.51
_cell_angle_beta 19.51
_cell_angle_gamma 19.51
loop_
_space_group_symop_operation_xyz
'x,y,z'
loop_
_atom_site_label
_atom_site_type_symbol
_atom_site_fract_x
_atom_site_fract_y
_atom_site_fract_z
Sr1 Sr 0.250 0.250 0.250
Hg1 Hg 0.750 0.750 0.750
K1 K 0.483 0.483 0.483
K2 K 0.017 0.017 0.017
# Electronic total energy: -1.07 eV per atom
# Mass density: 3.0 g/cm³

***

[10]
# K3SrHg | the Alexandria database | PBE-GGA | optimized geometry
data_K3SrHg
_space_group_name_H-M_alt 'P 1'
_space_group_IT_number 1
_cell_length_a 6.718
_cell_length_b 6.718
_cell_length_c 6.718
_cell_angle_alpha 90.00
_cell_angle_beta 90.00
_cell_angle_gamma 90.00
loop_
_space_group_symop_operation_xyz
'x,y,z'
loop_
_atom_site_label
_atom_site_type_symbol
_atom_site_fract_x
_atom_site_fract_y
_atom_site_fract_z
K1 K 0.000 0.500 0.000
K2 K 0.000 0.000 0.500
Hg1 Hg 0.000 0.000 0.000
Sr1 Sr 0.500 0.500 0.500
K3 K 0.500 0.000 0.000
# Electronic total energy: -1.01 eV per atom
# Mass density: 2.2 g/cm³

***

[11]
# K2SrHg | the Alexandria database | PBE-GGA | optimized geometry
data_K2SrHg
_space_group_name_H-M_alt 'P 1'
_space_group_IT_number 1
_cell_length_a 4.270
_cell_length_b 4.270
_cell_length_c 10.799
_cell_angle_alpha 90.00
_cell_angle_beta 90.00
_cell_angle_gamma 90.00
loop_
_space_group_symop_operation_xyz
'x,y,z'
loop_
_atom_site_label
_atom_site_type_symbol
_atom_site_fract_x
_atom_site_fract_y
_atom_site_fract_z
K1 K 0.500 0.500 0.272
Hg1 Hg 0.500 0.500 0.718
Sr1 Sr 0.000 0.000 0.576
K2 K 0.000 0.000 0.934
# Electronic total energy: -1.22 eV per atom
# Mass density: 3.1 g/cm³

***

E_form readings, ordered: 79, -273, -459, -315, 652, -97, -125, -145, -24, 42, -179 meV per atom
Total moment readings, ordered: 0.0000, 0.0000, 0.0000, 0.0000, 0.0000, 0.0000, 0.0000, 0.0000, 0.0000, 0.0000, 0.0000 μB/atom